{"formula": "YW2O9", "functional": "PBE with a Hubbard U", "state": "relaxed", "sg": "P2_1/m", "m_tot_mub_per_cell": 2.0, "dft_energy_ev_per_atom": -7.45, "n_ef_per_ev_fu": 2.17, "lattice_angstrom": [[6.1274, 0.0000, 0.0000], [0.0000, 8.6422, 0.0000], [-1.6159, 0.0000, 6.4660]], "species": ["Y", "Y", "W", "W", "W", "W", "O", "O", "O", "O", "O", "O", "O", "O", "O", "O", "O", "O", "O", "O", "O", "O", "O", "O"], "fractional_positions": [[0.2302, 0.2500, 0.2839], [0.7698, 0.7500, 0.7161], [0.2869, 0.0521, 0.8159], [0.2869, 0.4479, 0.8159], [0.7131, 0.5521, 0.1841], [0.7131, 0.9479, 0.1841], [0.0739, 0.5824, 0.8379], [0.0739, 0.9176, 0.8379], [0.1597, 0.2500, 0.8847], [0.2302, 0.0763, 0.5410], [0.2302, 0.4237, 0.5410], [0.4004, 0.7500, 0.4111], [0.4368, 0.7500, 0.2203], [0.4477, 0.0775, 0.1389], [0.4477, 0.4225, 0.1389], [0.5523, 0.5775, 0.8611], [0.5523, 0.9225, 0.8611], [0.5632, 0.2500, 0.7797], [0.5996, 0.2500, 0.5889], [0.7698, 0.5763, 0.4590], [0.7698, 0.9237, 0.4590], [0.8403, 0.7500, 0.1153], [0.9261, 0.0824, 0.1621], [0.9261, 0.4176, 0.1621]]}